# 1
The following is a PBE calculation of crystalline Er3InO6 at its relaxed geometry, from Alexandria.

abc: 6.6132 6.6132 6.6132
angles: 91.84 91.84 91.84
With the nearest neighbours (Å) after each atom.
Element x y z (fractional)
Er 0.7478 0.4410 0.9326  6 O 2.21-2.33
O 0.9073 0.0714 0.3139  3 Er 2.21-2.33, 1 In 2.22
O 0.4682 0.5992 0.8150  1 In 2.18, 3 Er 2.25-2.28
Er 0.4410 0.9326 0.7478  6 O 2.21-2.33
O 0.8150 0.4682 0.5992  1 In 2.18, 3 Er 2.25-2.28
In 0.5000 0.5000 0.5000  6 O 2.18
Er 0.9326 0.7478 0.4410  6 O 2.21-2.33
Er 0.0674 0.2522 0.5590  6 O 2.21-2.33
O 0.0927 0.9286 0.6861  3 Er 2.21-2.33, 1 In 2.22
O 0.4008 0.1850 0.5318  1 In 2.18, 3 Er 2.25-2.28
O 0.1850 0.5318 0.4008  1 In 2.18, 3 Er 2.25-2.28
Er 0.2522 0.5590 0.0674  6 O 2.21-2.33
O 0.9286 0.6861 0.0927  3 Er 2.21-2.33, 1 In 2.22
Er 0.5590 0.0674 0.2522  6 O 2.21-2.33
O 0.5318 0.4008 0.1850  1 In 2.18, 3 Er 2.25-2.28
O 0.5992 0.8150 0.4682  1 In 2.18, 3 Er 2.25-2.28
O 0.3139 0.9073 0.0714  3 Er 2.21-2.33, 1 In 2.22
O 0.6861 0.0927 0.9286  3 Er 2.21-2.33, 1 In 2.22
O 0.0714 0.3139 0.9073  3 Er 2.21-2.33, 1 In 2.22
In 0.0000 0.0000 0.0000  6 O 2.22

Output
**Formation energy from raw total energies**: -3.112 eV/atom
**Magnetization**: 0.00 μB/f.u.
**E_tot**: -7.73 eV per atom
**N(E_F)**: 0.0 states/eV/cell
**ΔE to the lowest computed polymorph**: 0 meV/atom
**ρ**: 8.20 g/cm³
**Space group**: R-3 (148)

# 2
The following is a PBE calculation of crystalline ErInO3 at its relaxed geometry, from Alexandria.

abc: 5.4892 5.8070 8.2605
angles: 90.00 90.00 90.00
With the nearest neighbours (Å) after each atom.
Element x y z (fractional)
In 0.5000 0.0000 0.5000  6 O 2.14-2.27
Er 0.9752 0.0637 0.2500  4 O 2.21-2.31
O 0.3494 0.9247 0.2500  2 Er 2.21-2.31, 2 In 2.27
O 0.8115 0.8086 0.0794  2 In 2.14-2.17, 1 Er 2.23
O 0.6885 0.3086 0.4206  2 In 2.14-2.17, 1 Er 2.23
O 0.8115 0.8086 0.4206  2 In 2.14-2.17, 1 Er 2.23
O 0.1506 0.4247 0.2500  2 Er 2.21-2.31, 2 In 2.27
Er 0.0248 0.9363 0.7500  4 O 2.21-2.31
O 0.3115 0.6914 0.5794  2 In 2.14-2.17, 1 Er 2.23
O 0.1885 0.1914 0.9206  2 In 2.14-2.17, 1 Er 2.23
Er 0.5248 0.5637 0.2500  4 O 2.21-2.31
In 0.0000 0.5000 0.0000  6 O 2.14-2.27
In 0.0000 0.5000 0.5000  6 O 2.14-2.27
O 0.8494 0.5753 0.7500  2 Er 2.21-2.31, 2 In 2.27
In 0.5000 0.0000 0.0000  6 O 2.14-2.27
Er 0.4752 0.4363 0.7500  4 O 2.21-2.31
O 0.3115 0.6914 0.9206  2 In 2.14-2.17, 1 Er 2.23
O 0.6885 0.3086 0.0794  2 In 2.14-2.17, 1 Er 2.23
O 0.1885 0.1914 0.5794  2 In 2.14-2.17, 1 Er 2.23
O 0.6506 0.0753 0.7500  2 Er 2.21-2.31, 2 In 2.27

Output
**Formation energy from raw total energies**: -2.533 eV/atom
**Magnetization**: 0.00 μB/f.u.
**E_tot**: -6.97 eV per atom
**N(E_F)**: 0.0 states/eV/cell
**ρ**: 8.33 g/cm³
**Space group**: Pnma (62)

# 3
The following is a PBE calculation of crystalline ErPaInO6 at its relaxed geometry, from Alexandria.

abc: 4.7901 5.6045 5.6045
angles: 120.00 90.00 90.00
With the nearest neighbours (Å) after each atom.
Element x y z (fractional)
In 0.5000 0.0000 0.0000  6 O 2.20
Er 0.5000 0.6667 0.3333  6 O 2.25
O 0.2560 0.0128 0.6733  1 Pa 2.19, 1 In 2.20, 1 Er 2.25
O 0.7440 0.6605 0.6733  1 Pa 2.19, 1 In 2.20, 1 Er 2.25
O 0.7440 0.0128 0.3395  1 Pa 2.19, 1 In 2.20, 1 Er 2.25
Pa 0.0000 0.3333 0.6667  6 O 2.19
O 0.7440 0.3267 0.9872  1 Pa 2.19, 1 In 2.20, 1 Er 2.25
O 0.2560 0.6605 0.9872  1 Pa 2.19, 1 In 2.20, 1 Er 2.25
O 0.2560 0.3267 0.3395  1 Pa 2.19, 1 In 2.20, 1 Er 2.25

Output
**Formation energy from raw total energies**: -2.673 eV/atom
**Magnetization**: 0.59 μB/f.u.
**E_tot**: -7.84 eV per atom
**N(E_F)**: 8.5 states/eV/cell
**ρ**: 7.76 g/cm³
**Space group**: P312 (149)

# 4
The following is a PBE calculation of crystalline Pr2ErInO at its relaxed geometry, from Alexandria.

abc: 4.6803 5.0809 5.0809
angles: 90.00 90.00 90.00
With the nearest neighbours (Å) after each atom.
Element x y z (fractional)
O 0.0000 0.0000 0.0000  2 Er 2.34, 4 Pr 2.54
Pr 0.0000 0.5000 0.0000  2 O 2.54
In 0.5000 0.5000 0.5000  8 Pr 3.45, 4 Er 3.59
Pr 0.0000 0.0000 0.5000  2 O 2.54
Er 0.5000 0.0000 0.0000  2 O 2.34

Output
**Formation energy from raw total energies**: -1.389 eV/atom
**Magnetization**: 0.08 μB/f.u.
**E_tot**: -5.75 eV per atom
**N(E_F)**: 2.5 states/eV/cell
**ρ**: 7.97 g/cm³
**Space group**: P4/mmm (123)

# 5
The following is a PBE calculation of crystalline ErPuIn2O8 at its relaxed geometry, from Alexandria.

abc: 5.0373 5.0338 6.7189
angles: 90.00 90.00 91.25
With the nearest neighbours (Å) after each atom.
Element x y z (fractional)
O 0.3081 0.3064 0.5000  2 In 2.13, 1 Er 2.16
O 0.8174 0.1843 0.2221  1 Pu 1.99
O 0.6919 0.6936 0.5000  2 In 2.13, 1 Er 2.16
Er 0.0000 0.0000 0.5000  6 O 2.16-2.29
O 0.2984 0.2967 0.0000  1 Pu 2.10, 2 In 2.23
O 0.8174 0.1843 0.7778  1 Pu 1.99
O 0.1826 0.8157 0.2222  1 Pu 1.99
In 0.5000 0.5000 0.7441  6 O 2.13-2.29
In 0.5000 0.5000 0.2559  6 O 2.13-2.29
O 0.1826 0.8157 0.7779  1 Pu 1.99
O 0.7016 0.7033 0.0000  1 Pu 2.10, 2 In 2.23
Pu 0.0000 0.0000 0.0000  6 O 1.99-2.10

Output
**Formation energy from raw total energies**: -2.215 eV/atom
**Magnetization**: 0.99 μB/f.u.
**E_tot**: -7.55 eV per atom
**N(E_F)**: 1.0 states/eV/cell
**ρ**: 7.50 g/cm³
**Space group**: P2/m (10)

# 6
The following is a PBE calculation of crystalline Rb3ErIn2O6 at its relaxed geometry, from Alexandria.

abc: 5.9243 5.9243 6.8052
angles: 98.34 98.34 120.00
With the nearest neighbours (Å) after each atom.
Element x y z (fractional)
O 0.6045 0.9410 0.8231  2 In 2.28, 1 Er 2.30
O 0.0590 0.3955 0.1769  2 In 2.28, 1 Er 2.30
In 0.3334 0.6666 0.0000  6 O 2.28
O 0.3955 0.0590 0.1769  2 In 2.28, 1 Er 2.30
O 0.9410 0.6045 0.8231  2 In 2.28, 1 Er 2.30
Rb 0.5000 0.5000 0.5000  6 O 2.87-2.89
Rb 0.8318 0.1682 0.5000  6 O 2.86-2.90
In 0.6666 0.3334 0.0000  6 O 2.28
Rb 0.1682 0.8318 0.5000  6 O 2.86-2.90
Er 0.0000 0.0000 0.0000  6 O 2.30
O 0.7225 0.7225 0.1771  2 In 2.28, 1 Er 2.30
O 0.2775 0.2775 0.8229  2 In 2.28, 1 Er 2.30

Output
**Formation energy from raw total energies**: -1.880 eV/atom
**Magnetization**: 0.00 μB/f.u.
**E_tot**: -5.44 eV per atom
**N(E_F)**: 0.0 states/eV/cell
**ρ**: 6.29 g/cm³
**Space group**: C2/m (12)

# 7
The following is a PBE calculation of crystalline Rb3Er2InO6 at its relaxed geometry, from Alexandria.

abc: 5.9701 5.9701 6.8341
angles: 98.36 98.36 120.00
With the nearest neighbours (Å) after each atom.
Element x y z (fractional)
Rb 0.5000 0.5000 0.5000  6 O 2.90-2.91
In 0.0000 0.0000 0.0000  6 O 2.29-2.30
O 0.3913 0.0587 0.1761  1 In 2.30, 2 Er 2.30
Rb 0.1650 0.8350 0.5000  6 O 2.90-2.92
O 0.0587 0.3913 0.1761  1 In 2.30, 2 Er 2.30
O 0.7261 0.7261 0.1759  1 In 2.29, 2 Er 2.30
Er 0.3333 0.6667 0.0000  6 O 2.30
O 0.6087 0.9413 0.8239  1 In 2.30, 2 Er 2.30
O 0.9413 0.6087 0.8239  1 In 2.30, 2 Er 2.30
Rb 0.8350 0.1650 0.5000  6 O 2.90-2.92
O 0.2739 0.2739 0.8241  1 In 2.29, 2 Er 2.30
Er 0.6667 0.3333 0.0000  6 O 2.30

Output
**Formation energy from raw total energies**: -2.291 eV/atom
**Magnetization**: 0.00 μB/f.u.
**E_tot**: -6.00 eV per atom
**N(E_F)**: 0.0 states/eV/cell
**ρ**: 6.60 g/cm³
**Space group**: C2/m (12)

# 8
The following is a PBE calculation of crystalline ErIn2RuO8 at its relaxed geometry, from Alexandria.

abc: 4.9521 4.9346 6.5549
angles: 90.00 90.00 91.08
With the nearest neighbours (Å) after each atom.
Element x y z (fractional)
O 0.1822 0.8132 0.2126  1 Ru 1.91
O 0.3104 0.3055 0.5000  2 In 2.12, 1 Er 2.13
O 0.8178 0.1868 0.2126  1 Ru 1.91
Ru 0.0000 0.0000 0.0000  6 O 1.91-1.96
O 0.8178 0.1868 0.7874  1 Ru 1.91
In 0.5000 0.5000 0.2488  6 O 2.12-2.24
O 0.1822 0.8132 0.7874  1 Ru 1.91
O 0.6896 0.6945 0.5000  2 In 2.12, 1 Er 2.13
Er 0.0000 0.0000 0.5000  6 O 2.13-2.29
O 0.7149 0.7193 0.0000  1 Ru 1.96
O 0.2851 0.2807 0.0000  1 Ru 1.96
In 0.5000 0.5000 0.7512  6 O 2.12-2.24

Output
**Formation energy from raw total energies**: -1.548 eV/atom
**Magnetization**: 1.09 μB/f.u.
**E_tot**: -6.46 eV per atom
**N(E_F)**: 5.2 states/eV/cell
**ρ**: 6.49 g/cm³
**Space group**: P2/m (10)

# 9
The following is a PBE calculation of crystalline ErInSO2 at its relaxed geometry, from Alexandria.

abc: 4.0548 6.6592 7.4843
angles: 117.98 90.00 90.00
With the nearest neighbours (Å) after each atom.
Element x y z (fractional)
O 0.7500 0.5462 0.3930  3 In 2.17-2.23, 1 Er 2.26
Er 0.7500 0.3212 0.0542  4 O 2.22-2.28
Er 0.2500 0.6788 0.9458  4 O 2.22-2.28
S 0.2500 0.0146 0.7901  1 In 2.44
O 0.2500 0.4994 0.1313  1 In 2.17, 3 Er 2.22-2.28
O 0.7500 0.5006 0.8687  1 In 2.17, 3 Er 2.22-2.28
In 0.2500 0.6771 0.4593  4 O 2.17-2.23
O 0.2500 0.4538 0.6070  3 In 2.17-2.23, 1 Er 2.26
S 0.7500 0.9854 0.2099  1 In 2.44
In 0.7500 0.3229 0.5407  4 O 2.17-2.23

Output
**Formation energy from raw total energies**: -2.159 eV/atom
**Magnetization**: 0.00 μB/f.u.
**E_tot**: -6.43 eV per atom
**N(E_F)**: 0.0 states/eV/cell
**ρ**: 6.44 g/cm³
**Space group**: P2_1/m (11)

# 10
The following is a PBE calculation of crystalline ErInSb2O8 at its relaxed geometry, from Alexandria.

abc: 5.1775 5.1775 6.6547
angles: 112.89 112.89 90.00
With the nearest neighbours (Å) after each atom.
Element x y z (fractional)
O 0.3945 0.3299 0.1773  1 Sb 1.94
In 0.0000 0.0000 0.0000  8 O 2.24-2.41
O 0.5913 0.6455 0.6809  1 Sb 1.93
O 0.0897 0.0354 0.6809  1 Sb 1.93
Er 0.7500 0.2500 0.5000  8 O 2.27-2.41
O 0.3545 0.9103 0.3191  1 Sb 1.93
O 0.1525 0.6055 0.8227  1 Sb 1.94
O 0.6701 0.2172 0.8227  1 Sb 1.94
Sb 0.2500 0.7500 0.5000  4 O 1.93
O 0.9646 0.4087 0.3191  1 Sb 1.93
Sb 0.5000 0.5000 0.0000  4 O 1.94
O 0.7828 0.8475 0.1773  1 Sb 1.94

Output
**Formation energy from raw total energies**: -1.855 eV/atom
**Magnetization**: 0.00 μB/f.u.
**E_tot**: -6.46 eV per atom
**ρ**: 7.29 g/cm³
**Space group**: I-4 (82)